Compound: Tb2PmPuSb4
Source: Alexandria via LeMat-Bulk
Functional: GGA-PBE
Structure: optimized geometry

Values from the calculation:
Space-group type: P2/m, No. 10
Formation energy (no corrections) in eV/atom: -1.01
E in eV/cell: -52.93
Crystal system: monoclinic
Density of states at the Fermi level in states/eV per cell: 16.62

Unit cell a=7.670 b=4.436 c=7.675 alpha=90.00 beta=109.46 gamma=90.00
Sites, in units of the cell vectors:
Tb (0.000, 0.000, 0.000)
Tb (0.000, 0.500, 0.500)
Pm (0.500, 0.000, 0.500)
Pu (0.500, 0.500, 0.000)
Sb (0.246, 0.500, 0.246)
Sb (0.248, 0.000, 0.752)
Sb (0.752, 0.000, 0.248)
Sb (0.754, 0.500, 0.754)